No. 1
## IrPtBr (GGA-PBEsol)

Data for crystalline IrPtBr at its relaxed geometry.

```
data_IrPtBr
_chemical_formula_sum 'Ir4 Pt4 Br4'
_cell_length_a 2.792
_cell_length_b 5.101
_cell_length_c 13.819
_cell_angle_alpha 90.00
_cell_angle_beta 90.00
_cell_angle_gamma 90.00
_symmetry_space_group_name_H-M 'F m m 2'
_symmetry_Int_Tables_number 42
_symmetry_space_group_name_Hall 'F 2 -2'
loop_
_atom_site_label
_atom_site_fract_x
_atom_site_fract_y
_atom_site_fract_z
Ir1 0.000 0.000 0.000
Pt1 0.000 0.000 0.662
Br1 0.000 0.000 0.343
```

Summary:
* density of states at the Fermi level: 11.2 states/eV/cell
* total magnetic moment: 0.00 μB/cell
* raw formation energy: 0.715 eV per atom
* polymorph energy (0 for the lowest one): 0.0 kJ/mol of atoms
* mass density: 15.8 g/cm3

---

No. 2
## AgHgMo2 (GGA-PBEsol)

Data for crystalline AgHgMo2 at its relaxed geometry.

```
data_AgHgMo2
_chemical_formula_sum 'Ag1 Hg1 Mo2'
_cell_length_a 2.787
_cell_length_b 4.117
_cell_length_c 5.869
_cell_angle_alpha 90.00
_cell_angle_beta 93.94
_cell_angle_gamma 90.00
_symmetry_space_group_name_H-M 'P 1 m 1'
_symmetry_Int_Tables_number 6
_symmetry_space_group_name_Hall 'P -2y'
loop_
_atom_site_label
_atom_site_fract_x
_atom_site_fract_y
_atom_site_fract_z
Ag1 0.000 0.000 0.000
Hg1 0.540 0.500 0.249
Mo1 0.114 0.000 0.527
Mo2 0.454 0.500 0.736
```

Summary:
* density of states at the Fermi level: 1.9 states/eV/cell
* total magnetic moment: 0.00 μB/cell
* formation energy from the elements: 396 meV per atom
* mass density: 12.4 g/cm3

---

No. 3
## AlRu2W (GGA-PBEsol)

Data for crystalline AlRu2W at its relaxed geometry.

```
data_AlRu2W
_chemical_formula_sum 'Al1 Ru2 W1'
_cell_length_a 2.967
_cell_length_b 2.967
_cell_length_c 6.282
_cell_angle_alpha 90.00
_cell_angle_beta 90.00
_cell_angle_gamma 90.00
_symmetry_space_group_name_H-M 'P 4/m m m'
_symmetry_Int_Tables_number 123
_symmetry_space_group_name_Hall '-P 4 2'
loop_
_atom_site_label
_atom_site_fract_x
_atom_site_fract_y
_atom_site_fract_z
Al1 0.000 0.000 0.000
Ru1 0.500 0.500 0.238
W1 0.000 0.000 0.500
```

Summary:
* density of states at the Fermi level: 2.0 states/eV/cell
* total magnetic moment: 0.00 μB/cell
* formation energy from the elements: -364 meV per atom
* mass density: 12.4 g/cm3

---

No. 4
## CaFe2Tc (GGA-PBEsol)

Data for crystalline CaFe2Tc at its relaxed geometry.

```
data_CaFe2Tc
_chemical_formula_sum 'Ca1 Fe2 Tc1'
_cell_length_a 2.820
_cell_length_b 4.480
_cell_length_c 4.639
_cell_angle_alpha 90.00
_cell_angle_beta 90.00
_cell_angle_gamma 90.00
_symmetry_space_group_name_H-M 'P m m m'
_symmetry_Int_Tables_number 47
_symmetry_space_group_name_Hall '-P 2 2'
loop_
_atom_site_label
_atom_site_fract_x
_atom_site_fract_y
_atom_site_fract_z
Ca1 0.000 0.000 0.000
Fe1 0.000 0.500 0.500
Fe2 0.500 0.500 0.000
Tc1 0.500 0.000 0.500
```

Summary:
* density of states at the Fermi level: 5.4 states/eV/cell
* total magnetic moment: 4.53 μB/cell
* formation energy from the elements: 855 meV per atom
* mass density: 7.1 g/cm3

---

No. 5
## BeAgAu2 (GGA-PBEsol)

Data for crystalline BeAgAu2 at its relaxed geometry.

```
data_BeAgAu2
_chemical_formula_sum 'Be4 Ag4 Au8'
_cell_length_a 6.248
_cell_length_b 6.248
_cell_length_c 6.248
_cell_angle_alpha 90.00
_cell_angle_beta 90.00
_cell_angle_gamma 90.00
_symmetry_space_group_name_H-M 'F -4 3 m'
_symmetry_Int_Tables_number 216
_symmetry_space_group_name_Hall 'F -4 2 3'
loop_
_atom_site_label
_atom_site_fract_x
_atom_site_fract_y
_atom_site_fract_z
Be1 0.000 0.000 0.000
Ag1 0.250 0.250 0.250
Au1 0.000 0.000 0.500
Au2 0.250 0.250 0.750
```

Summary:
* density of states at the Fermi level: 4.3 states/eV/cell
* total magnetic moment: 0.00 μB/cell
* formation energy from the elements: 91 meV per atom
* mass density: 13.9 g/cm3

---

No. 6
## Bi3MoOs (GGA-PBEsol)

Data for crystalline Bi3MoOs at its relaxed geometry.

```
data_Bi3MoOs
_chemical_formula_sum 'Bi3 Mo1 Os1'
_cell_length_a 5.229
_cell_length_b 5.229
_cell_length_c 5.229
_cell_angle_alpha 90.00
_cell_angle_beta 90.00
_cell_angle_gamma 90.00
_symmetry_space_group_name_H-M 'P m -3 m'
_symmetry_Int_Tables_number 221
_symmetry_space_group_name_Hall '-P 4 2 3'
loop_
_atom_site_label
_atom_site_fract_x
_atom_site_fract_y
_atom_site_fract_z
Bi1 0.000 0.000 0.500
Mo1 0.500 0.500 0.500
Os1 0.000 0.000 0.000
```

Summary:
* density of states at the Fermi level: 4.1 states/eV/cell
* total magnetic moment: 3.80 μB/cell
* formation energy from the elements: 1513 meV per atom
* mass density: 10.6 g/cm3

---

No. 7
## Ti3O5 (GGA-PBEsol)

Data for crystalline Ti3O5 at its relaxed geometry.

```
data_Ti3O5
_chemical_formula_sum 'Ti12 O20'
_cell_length_a 9.715
_cell_length_b 3.780
_cell_length_c 9.860
_cell_angle_alpha 90.00
_cell_angle_beta 91.09
_cell_angle_gamma 90.00
_symmetry_space_group_name_H-M 'C 1 2/m 1'
_symmetry_Int_Tables_number 12
_symmetry_space_group_name_Hall '-C 2y'
loop_
_atom_site_label
_atom_site_fract_x
_atom_site_fract_y
_atom_site_fract_z
Ti1 0.130 0.000 0.049
Ti2 0.135 0.000 0.434
Ti3 0.198 0.000 0.757
O1 0.044 0.000 0.867
O2 0.051 0.000 0.615
O3 0.177 0.500 0.062
O4 0.187 0.500 0.428
O5 0.238 0.000 0.249
```

Summary:
* density of states at the Fermi level: 17.4 states/eV/cell
* total magnetic moment: 1.79 μB/cell
* raw formation energy: -2.974 eV per atom
* polymorph energy (0 for the lowest one): 0.7 kJ/mol of atoms
* mass density: 4.1 g/cm3

---

No. 8
## Li3Ag (GGA-PBEsol)

Data for crystalline Li3Ag at its relaxed geometry.

```
data_Li3Ag
_chemical_formula_sum 'Li3 Ag1'
_cell_length_a 2.9217
_cell_length_b 2.9217
_cell_length_c 9.4113
_cell_angle_alpha 90.00
_cell_angle_beta 90.00
_cell_angle_gamma 120.00
_symmetry_space_group_name_H-M 'P -6 m 2'
_symmetry_Int_Tables_number 187
_symmetry_space_group_name_Hall 'P -6 2'
loop_
_atom_site_label
_atom_site_fract_x
_atom_site_fract_y
_atom_site_fract_z
Li1 0.0000 0.0000 0.0000
Li2 0.3333 0.6667 0.2706
Ag1 0.0000 0.0000 0.5000
```

Summary:
* density of states at the Fermi level: 1.4 states/eV/cell
* total magnetic moment: 0.00 μB/cell
* polymorph energy (0 for the lowest one): 6.0 kJ/mol of atoms
* formation energy from the elements: -65 meV per atom
* mass density: 3.1 g/cm3

---

no.,DFT total energy (eV/atom)
1,-5.504
2,-6.457
3,-9.925
4,-6.977
5,-3.699
6,-5.855
7,-9.375
8,-2.368